Below is a relaxed YVNF2 crystal, with properties calculated at the GGA+U level.

Output
**Energy above the lowest structure with this stoichiometry**: 260 meV/atom
**D(E_F)**: 0.141 states/eV per atom
**DFT total energy**: -6.66 eV/atom
**Size of the total moment**: 0.60 μB/atom

abc: 4.274 4.274 4.663
angles: 90.00 90.00 90.00
Space group P4/mmm (No. 123)
Inequivalent atoms, fractional coordinates:
1 Y 0.000 0.000 0.000 x1
2 V 0.500 0.500 0.500 x1
3 N 0.000 0.000 0.500 x1
4 F 0.000 0.500 0.000 x2